Material: Be4CdPd
Method: DFT, GGA-PBE
State: optimized geometry

Unit cell a=4.5276 b=4.5276 c=4.5276 alpha=60.00 beta=60.00 gamma=60.00
Fractional positions:
Be 0.6265 0.6265 0.1204
Be 0.6265 0.1204 0.6265
Be 0.6265 0.6265 0.6265
Be 0.1204 0.6265 0.6265
Pd 0.0000 0.0000 0.0000
Cd 0.2500 0.2500 0.2500

Calculated formation energy = -16 kJ per mole of atoms
SG = F-43m
Raw total energy = -22.00 eV per cell